1.
VASP calculation (PBE) on a geometry-optimized GeAsW structure.

Computed properties:
space-group type	F-43m (216)
mass density	9.4	Mg/m³
calculated volume	19.4	Å³/atom
distance to the lowest polymorph of the same formula	442	meV/atom

Cell: 4.353 4.353 4.353 Å, 60.00 60.00 60.00°
Element x y z (fractional)
1 Ge 0.000 0.000 0.000
2 As 0.500 0.500 0.500
3 W 0.750 0.750 0.750



2.
VASP calculation (PBE) on a geometry-optimized TmInNi structure.

Computed properties:
DFT total energy	-3.930	eV per atom
space-group type	F-43m (216)
mass density	7.7	Mg/m³
calculated volume	24.5	Å³/atom

Cell: 4.702 4.702 4.702 Å, 60.00 60.00 60.00°
Element x y z (fractional)
1 Tm 0.000 0.000 0.000
2 In 0.750 0.750 0.750
3 Ni 0.250 0.250 0.250



3.
VASP calculation (PBE) on a geometry-optimized SrSnAu2 structure.

Computed properties:
DFT total energy	-3.397	eV per atom
space-group type	F-43m (216)
mass density	10.6	Mg/m³
calculated volume	23.5	Å³/atom

Cell: 5.106 5.106 5.106 Å, 60.00 60.00 60.00°
Element x y z (fractional)
1 Sr 0.000 0.000 0.000
2 Sn 0.250 0.250 0.250
3 Au 0.500 0.500 0.500
4 Au 0.750 0.750 0.750



4.
VASP calculation (PBE) on a geometry-optimized PuCoAu structure.

Computed properties:
space-group type	F-43m (216)
mass density	13.2	Mg/m³
calculated volume	21.0	Å³/atom
ΔH_f (0 K)	1.051	eV/atom

Cell: 4.469 4.469 4.469 Å, 60.00 60.00 60.00°
Element x y z (fractional)
1 Pu 0.000 0.000 0.000
2 Co 0.750 0.750 0.750
3 Au 0.250 0.250 0.250



5.
VASP calculation (PBE) on a geometry-optimized NaCo5 structure.

Computed properties:
DFT total energy	-5.782	eV per atom
space-group type	P6/mmm (191)
mass density	6.7	Mg/m³
calculated volume	13.2	Å³/atom

Cell: 4.800 4.800 3.972 Å, 90.00 90.00 120.00°
Element x y z (fractional)
1 Na 0.000 0.000 0.000
2 Co 0.000 0.500 0.500
3 Co 0.333 0.667 0.000
4 Co 0.500 0.000 0.500
5 Co 0.500 0.500 0.500
6 Co 0.667 0.333 0.000



6.
VASP calculation (PBE) on a geometry-optimized NaGa2Au4 structure.

Computed properties:
DFT total energy	-3.211	eV per atom
space-group type	P2_1/c (14)
mass density	11.9	Mg/m³
calculated volume	18.9	Å³/atom

Cell: 8.380 7.472 9.402 Å, 90.00 115.74 90.00°
Element x y z (fractional)
1 Na 0.213 0.045 0.177
2 Na 0.213 0.455 0.677
3 Na 0.787 0.545 0.323
4 Na 0.787 0.955 0.823
5 Ga 0.002 0.130 0.387
6 Ga 0.002 0.370 0.887
7 Ga 0.485 0.673 0.585
8 Ga 0.485 0.827 0.085
9 Ga 0.515 0.173 0.915
10 Ga 0.515 0.327 0.415
11 Ga 0.998 0.630 0.113
12 Ga 0.998 0.870 0.613
13 Au 0.145 0.719 0.924
14 Au 0.145 0.781 0.424
15 Au 0.171 0.101 0.843
16 Au 0.171 0.399 0.343
17 Au 0.365 0.103 0.540
18 Au 0.365 0.397 0.040
19 Au 0.376 0.651 0.267
20 Au 0.376 0.849 0.767
21 Au 0.624 0.151 0.233
22 Au 0.624 0.349 0.733
23 Au 0.635 0.603 0.960
24 Au 0.635 0.897 0.460
25 Au 0.829 0.601 0.657
26 Au 0.829 0.899 0.157
27 Au 0.855 0.219 0.576
28 Au 0.855 0.281 0.076



7.
VASP calculation (PBE) on a geometry-optimized TaSi2 structure.

Computed properties:
DFT total energy	-7.139	eV per atom
space-group type	Fm-3m (225)
mass density	7.1	Mg/m³
calculated volume	18.5	Å³/atom

Cell: 4.281 4.281 4.281 Å, 60.00 60.00 60.00°
Element x y z (fractional)
1 Ta 0.000 0.000 0.000
2 Si 0.250 0.250 0.250
3 Si 0.750 0.750 0.750



8.
VASP calculation (PBE) on a geometry-optimized ReBr4Cl structure.

Computed properties:
space-group type	P-1 (2)
mass density	4.9	Mg/m³
calculated volume	30.8	Å³/atom
distance to the lowest polymorph of the same formula	2	meV/atom

Cell: 6.599 7.143 9.527 Å, 110.02 90.19 116.86°
Element x y z (fractional)
1 Re 0.099 0.204 0.208
2 Re 0.901 0.796 0.792
3 Br 0.073 0.817 0.570
4 Br 0.120 0.628 0.856
5 Br 0.300 0.002 0.238
6 Br 0.438 0.570 0.334
7 Br 0.562 0.430 0.666
8 Br 0.700 0.998 0.762
9 Br 0.880 0.372 0.144
10 Br 0.927 0.183 0.430
11 Cl 0.227 0.173 0.959
12 Cl 0.773 0.827 0.041